<a>
Compound: Mg2Tl2Sn
Source: Alexandria via LeMat-Bulk
Functional: GGA-PBE
Structure: optimized geometry

* SG: P4/mbm (127)

Geometry as POSCAR:
```
Mg2Tl2Sn
1.0
8.533 0.000 0.000
0.000 8.533 0.000
0.000 0.000 3.594
Mg Tl Sn
4 4 2
direct
0.135 0.365 0.000
0.365 0.865 0.000
0.635 0.135 0.000
0.865 0.635 0.000
0.165 0.665 0.500
0.335 0.165 0.500
0.665 0.835 0.500
0.835 0.335 0.500
0.000 0.000 0.000
0.500 0.500 0.000
```


<b>
Compound: Mg2Tl2Sn
Source: Alexandria via LeMat-Bulk
Functional: GGA-PBE
Structure: optimized geometry

* SG: I4/mmm (139)

Geometry as POSCAR:
```
Mg2Tl2Sn
1.0
-2.166 2.166 7.412
2.166 -2.166 7.412
2.166 2.166 -7.412
Mg Tl Sn
2 2 1
direct
0.096 0.096 0.000
0.904 0.904 0.000
0.250 0.750 0.500
0.750 0.250 0.500
0.500 0.500 0.000
```


What should be chosen as the least stable of them? Choose <b>.


<a>
Compound: TmMgTlSn
Source: Alexandria via LeMat-Bulk
Functional: GGA-PBE
Structure: optimized geometry

* SG: Pmmm (47)

Geometry as POSCAR:
```
TmMgTlSn
1.0
4.370 0.000 0.000
0.000 4.642 0.000
0.000 0.000 4.881
Tm Mg Tl Sn
1 1 1 1
direct
0.000 0.000 0.000
0.000 0.500 0.500
0.500 0.000 0.500
0.500 0.500 0.000
```


<b>
Compound: TmMgTlSn
Source: Alexandria via LeMat-Bulk
Functional: GGA-PBE
Structure: optimized geometry

* SG: F-43m (216)

Geometry as POSCAR:
```
TmMgTlSn
1.0
0.000 3.712 3.712
3.712 0.000 3.712
3.712 3.712 0.000
Tm Mg Tl Sn
1 1 1 1
direct
0.000 0.000 0.000
0.500 0.500 0.500
0.750 0.750 0.750
0.250 0.250 0.250
```


What should be chosen as the least stable of them? Choose <b>.